Record 1
Material: CeSmBi2
Method: DFT, GGA-PBE
State: relaxed

abc: 5.9404 5.9404 3.4296
angles: 90.00 90.00 90.00
With the nearest neighbours (Å) after each atom.
Space group P4/mmm (No. 123)
One atom of each set of equivalent atoms:
Ce  0.0000  0.0000  0.0000  2 Ce 3.43, 8 Bi 3.43
Sm  0.5000  0.5000  0.0000  2 Sm 3.43, 8 Bi 3.43
Bi  0.0000  0.5000  0.5000  2 Bi 3.43, 4 Sm 3.43, 4 Ce 3.43

---

Record 2
Material: CeSmBi2
Method: DFT, GGA-PBE
State: relaxed

abc: 4.5799 4.5799 22.4334
angles: 90.00 90.00 120.00
With the nearest neighbours (Å) after each atom.
Space group R-3m (No. 166, hexagonal axes)
One atom of each set of equivalent atoms:
Ce  0.0000  0.0000  0.0000  6 Bi 3.24
Sm  0.0000  0.0000  0.5000  6 Bi 3.23
Bi  0.0000  0.0000  0.2496  3 Sm 3.23, 3 Ce 3.24

---

Number 1: Fermi-level density of states 7.4 states/eV/cell, ΔE_f -685 meV/atom. Number 2: Fermi-level density of states 20.3 states/eV/cell, ΔE_f -862 meV/atom.